Compound: UMn2Tl3O9
Source: Alexandria via LeMat-Bulk
Functional: PBE+U
Structure: optimized geometry

Structure (POSCAR):
```
UMn2Tl3O9
1.0
5.7298 0.0000 0.0000
-2.8649 4.9622 0.0000
0.0000 0.0000 7.1423
U Mn Tl O
1 2 3 9
direct
0.0000 0.0000 0.0000
0.3333 0.6667 0.6602
0.6667 0.3333 0.3398
0.0000 0.0000 0.5000
0.3333 0.6667 0.2127
0.6667 0.3333 0.7873
0.0000 0.5000 0.5000
0.1686 0.3371 0.8267
0.1686 0.8314 0.8267
0.3371 0.1686 0.1733
0.5000 0.0000 0.5000
0.5000 0.5000 0.5000
0.6629 0.8314 0.8267
0.8314 0.1686 0.1733
0.8314 0.6629 0.1733
```

**Crystal system**: trigonal
**Space group**: P-3m1 (164)
**ρ**: 9036 kg/m³
**M_tot**: 6.58 μB/f.u.
**Electronic total energy**: -6.678 eV/atom